(1)
This record from Alexandria describes YHgRh2 at its PBEsol-relaxed geometry. The functional is SCAN.

```
YHgRh2
1.0
3.1099 0.0000 0.0000
0.0000 4.0375 0.0000
0.0000 0.0000 5.6540
Y Hg Rh
1 1 2
Cartesian
0.0000 0.0000 0.0000 Y
1.5550 2.0187 1.7277 Hg
0.0000 0.0000 2.9723 Rh
1.5550 2.0187 4.4076 Rh
```

Output
theoretical density = 11.59 g/cm³
symmetry = No. 25
magnetic moment = 0.002 μB per cell
raw total energy = -41.22 eV per atom

***

(2)
This record from Alexandria describes SeIN2 at its PBEsol-relaxed geometry. The functional is SCAN.

```
SeIN2
1.0
-2.9789 2.9789 3.6766
2.9789 -2.9789 3.6766
2.9789 2.9789 -3.6766
Se I N
2 2 4
Cartesian
0.0000 0.0000 0.0000 Se
0.0000 2.9789 1.8383 Se
2.9789 0.0000 1.8383 I
0.0000 0.0000 3.6766 I
1.4895 1.1040 -0.9192 N
1.8749 -1.4895 4.5958 N
1.4895 1.8749 2.7575 N
1.1040 4.4684 0.9192 N
```

Output
theoretical density = 5.95 g/cm³
energy relative to the elements, uncorrected = 170.7 kJ per mole of atoms
symmetry = No. 122
magnetic moment = 0.000 μB per cell
raw total energy = -17.08 eV per atom